DFT (GGA-PBE) results for a relaxed CaY2Mo crystal.

As for the crystal system: monoclinic. The calculation puts the density of states at the Fermi level at 3.724 states/eV/cell. The value obtained for the formation energy is 2.0 eV/f.u. The calculation puts the volume at 108 Å³/cell. As for the spin magnetization: 0.00 μB/cell.

It has space group Pm (No. 6), with a = 3.297 Å, b = 5.004 Å, c = 6.743 Å, α = 90.00°, β = 104.13° and γ = 90.00°. The distinct sites, in fractional coordinates, are Ca at (0.000, 0.000, 0.000), Y at (0.362, 0.500, 0.725), Y at (0.720, 0.000, 0.444) and Mo at (0.130, 0.500, 0.263).

---

DFT (GGA-PBE) results for a relaxed K2Li2Ag crystal.

As for the crystal system: tetragonal. The calculation puts the density of states at the Fermi level at 4.751 states/eV/cell. The value obtained for the formation energy is 0.6 eV/f.u. The calculation puts the volume at 361 Å³/cell. As for the spin magnetization: 0.00 μB/cell.

It has space group I4/mmm (No. 139), with a = 4.098 Å, b = 4.098 Å, c = 21.500 Å, α = 90.00°, β = 90.00° and γ = 90.00°. The distinct sites, in fractional coordinates, are K at (0.000, 0.000, 0.096), Li at (0.000, 0.500, 0.250) and Ag at (0.000, 0.000, 0.500).

---

DFT (GGA-PBE) results for a relaxed GaPbIBr4 crystal.

As for the crystal system: monoclinic. The calculation puts the density of states at the Fermi level at 0.000 states/eV/cell. The value obtained for the final energy is -2.904 eV per atom. The calculation puts the volume at 1249 Å³/cell. As for the spin magnetization: 0.00 μB/cell.

It has space group C2/m (No. 12), with a = 13.722 Å, b = 9.405 Å, c = 9.941 Å, α = 90.00°, β = 103.28° and γ = 90.00°. The distinct sites, in fractional coordinates, are Ga at (0.151, 0.000, 0.273), Pb at (0.165, 0.500, 0.028), I at (0.010, 0.500, 0.217), Br at (0.021, 0.000, 0.803), Br at (0.214, 0.000, 0.508) and Br at (0.229, 0.195, 0.171).

---

DFT (GGA-PBE) results for a relaxed NaPmTl crystal.

As for the crystal system: hexagonal. The calculation puts the density of states at the Fermi level at 6.335 states/eV/cell. The value obtained for the formation energy is -0.5 eV/f.u. The calculation puts the volume at 177 Å³/cell. As for the spin magnetization: 0.00 μB/cell.

It has space group P6_3/mmc (No. 194), with a = 5.5979 Å, b = 5.5979 Å, c = 6.5108 Å, α = 90.00°, β = 90.00° and γ = 120.00°. The distinct sites, in fractional coordinates, are Na at (0.0000, 0.0000, 0.0000), Pm at (0.3333, 0.6667, 0.2500) and Tl at (0.3333, 0.6667, 0.7500).

---

DFT (GGA-PBE) results for a relaxed Ti3MnCo crystal.

As for the crystal system: cubic. The calculation puts the density of states at the Fermi level at 8.274 states/eV/cell. The value obtained for the formation energy is 3.3 eV/f.u. The calculation puts the volume at 85 Å³/cell. As for the spin magnetization: 0.00 μB/cell.

It has space group Pm-3m (No. 221), with a = 4.402 Å, b = 4.402 Å, c = 4.402 Å, α = 90.00°, β = 90.00° and γ = 90.00°. The distinct sites, in fractional coordinates, are Ti at (0.000, 0.000, 0.500), Mn at (0.500, 0.500, 0.500) and Co at (0.000, 0.000, 0.000).

---

Please write out number 1 again, unchanged.
DFT (GGA-PBE) results for a relaxed CaY2Mo crystal.

As for the crystal system: monoclinic. The calculation puts the density of states at the Fermi level at 3.724 states/eV/cell. The value obtained for the formation energy is 2.0 eV/f.u. The calculation puts the volume at 108 Å³/cell. As for the spin magnetization: 0.00 μB/cell.

It has space group Pm (No. 6), with a = 3.297 Å, b = 5.004 Å, c = 6.743 Å, α = 90.00°, β = 104.13° and γ = 90.00°. The distinct sites, in fractional coordinates, are Ca at (0.000, 0.000, 0.000), Y at (0.362, 0.500, 0.725), Y at (0.720, 0.000, 0.444) and Mo at (0.130, 0.500, 0.263).